First-principles (PBE with a Hubbard U) data for a relaxed NiAgSnF6 crystal, as listed in Alexandria via LeMat-Bulk.

Computed properties:
DFT total energy	-4.228	eV/atom
magnetization	2.04	μB/f.u.

Lattice parameters (Å, degrees): 5.6393 5.6393 10.1349 90.00 90.00 120.00
With the nearest neighbours (Å) after each atom.
Space group P-31c (No. 163)
One atom of each set of equivalent atoms:
1 Ni 0.3333 0.6667 0.2500 x2  6 F 2.05
2 Ag 0.0000 0.0000 0.0000 x2  6 F 2.51
3 Sn 0.3333 0.6667 0.7500 x2  6 F 2.18
4 F 0.0171 0.3738 0.1408 x12  1 Ni 2.05, 1 Sn 2.18